Entry 1:
This record from Alexandria via LeMat-Bulk describes an optimized crystal structure of CoB2Mo. The functional is GGA-PBE.

Output
**Formation enthalpy at 0 K**: -0.237 eV per atom
**Energy relative to the lowest polymorph listed for this composition**: 0.114 eV/atom
**Volume**: 9.354 Å³/atom
**Spin magnetization**: 0.000 μB/atom

abc: 3.3170 3.3170 11.7810
angles: 90.00 90.00 120.00
Space group R-3m (No. 166, hexagonal axes)
Inequivalent atoms, fractional coordinates:
Co  0.0000  0.0000  0.0000
B  0.0000  0.0000  0.2854
Mo  0.0000  0.0000  0.5000

---

Entry 2:
This record from Alexandria via LeMat-Bulk describes an optimized crystal structure of Nd3ThSb4. The functional is GGA-PBE.

Output
**Volume**: 32.638 Å³/atom
**ΔE_f (raw)**: -1.141 eV per atom
**Spin magnetization**: 0.000 μB/atom

abc: 9.035 12.774 4.525
angles: 90.00 90.00 90.00
Space group Cmmm (No. 65)
Inequivalent atoms, fractional coordinates:
Nd  0.000  0.000  0.000
Nd  0.250  0.250  0.500
Th  0.000  0.500  0.000
Sb  0.000  0.251  0.000
Sb  0.249  0.500  0.500